Computed, not measured: a relaxed CrSb2IN crystal at the GGA-PBE level of DFT.

Cell lengths 4.7325, 4.7325, 4.6695 Å; angles 90.00, 90.00, 90.00 degrees
Closest atoms and distances in Å follow each position.
Space group P4/mmm (No. 123)
Unique sites:
Cr1 0.0000 0.0000 0.0000 [1 per cell]  8 Sb 3.32, 4 I 3.35
Sb1 0.0000 0.5000 0.5000 [2 per cell]  2 N 2.37
I1 0.5000 0.5000 0.0000 [1 per cell]  2 N 2.33
N1 0.5000 0.5000 0.5000 [1 per cell]  2 I 2.33, 4 Sb 2.37

Formation energy from raw total energies = 1.29 eV/atom

***

Computed, not measured: a relaxed CrSbI2N crystal at the GGA-PBE level of DFT.

Cell lengths 5.5543, 5.5543, 5.2330 Å; angles 90.00, 90.00, 90.00 degrees
Closest atoms and distances in Å follow each position.
Space group P4/mmm (No. 123)
Unique sites:
Cr1 0.0000 0.0000 0.0000 [1 per cell]  2 Sb 2.62, 4 I 2.78
Sb1 0.0000 0.0000 0.5000 [1 per cell]  2 Cr 2.62
I1 0.0000 0.5000 0.0000 [2 per cell]  2 Cr 2.78
N1 0.5000 0.5000 0.5000 [1 per cell]  8 I 3.82, 4 Sb 3.93

Formation energy from raw total energies = 1.19 eV/atom

***

Computed, not measured: a relaxed CrSbI2N crystal at the GGA-PBE level of DFT.

Cell lengths 4.8203, 4.8203, 4.8988 Å; angles 90.00, 90.00, 90.00 degrees
Closest atoms and distances in Å follow each position.
Space group P4/mmm (No. 123)
Unique sites:
Cr1 0.0000 0.0000 0.0000 [1 per cell]  4 Sb 3.41, 8 I 3.44
Sb1 0.5000 0.5000 0.0000 [1 per cell]  2 N 2.45
I1 0.0000 0.5000 0.5000 [2 per cell]  2 N 2.41
N1 0.5000 0.5000 0.5000 [1 per cell]  4 I 2.41, 2 Sb 2.45

Formation energy from raw total energies = 1.52 eV/atom

***

Computed, not measured: a relaxed CrSb2IN crystal at the GGA-PBE level of DFT.

Cell lengths 5.0633, 5.0633, 5.6924 Å; angles 90.00, 90.00, 90.00 degrees
Closest atoms and distances in Å follow each position.
Space group P4/mmm (No. 123)
Unique sites:
Cr1 0.0000 0.0000 0.0000 [1 per cell]  4 Sb 2.53
Sb1 0.0000 0.5000 0.0000 [2 per cell]  2 Cr 2.53
I1 0.0000 0.0000 0.5000 [1 per cell]  2 Cr 2.85
N1 0.5000 0.5000 0.5000 [1 per cell]  4 I 3.58, 8 Sb 3.81

Formation energy from raw total energies = 1.32 eV/atom

***

Computed, not measured: a relaxed CrSbI2N crystal at the GGA-PBE level of DFT.

Cell lengths 5.7559, 5.7559, 3.6499 Å; angles 90.00, 90.00, 90.00 degrees
Closest atoms and distances in Å follow each position.
Space group P4/mmm (No. 123)
Unique sites:
Cr1 0.0000 0.0000 0.0000 [1 per cell]  2 N 1.82
Sb1 0.5000 0.5000 0.5000 [1 per cell]  8 I 3.41, 2 Sb 3.65
I1 0.0000 0.5000 0.0000 [2 per cell]  2 Cr 2.88
N1 0.0000 0.0000 0.5000 [1 per cell]  2 Cr 1.82

Formation energy from raw total energies = 0.30 eV/atom

***

Computed, not measured: a relaxed CrSbIN2 crystal at the GGA-PBE level of DFT.

Cell lengths 4.0755, 4.0755, 5.4958 Å; angles 90.00, 90.00, 90.00 degrees
Closest atoms and distances in Å follow each position.
Space group P4/mmm (No. 123)
Unique sites:
Cr1 0.0000 0.0000 0.0000 [1 per cell]  4 N 2.04
Sb1 0.5000 0.5000 0.5000 [1 per cell]  4 I 2.88
I1 0.0000 0.0000 0.5000 [1 per cell]  2 Cr 2.75, 4 Sb 2.88
N1 0.0000 0.5000 0.0000 [2 per cell]  2 Cr 2.04

Formation energy from raw total energies = 1.09 eV/atom

***

Computed, not measured: a relaxed ScCrI2N crystal at the GGA-PBE level of DFT.

Cell lengths 5.6293, 5.6293, 3.6259 Å; angles 90.00, 90.00, 90.00 degrees
Closest atoms and distances in Å follow each position.
Space group P4/mmm (No. 123)
Unique sites:
Sc1 0.0000 0.0000 0.0000 [1 per cell]  8 I 3.35, 2 Sc 3.63
Cr1 0.5000 0.5000 0.5000 [1 per cell]  2 N 1.81
I1 0.0000 0.5000 0.5000 [2 per cell]  2 Cr 2.81
N1 0.5000 0.5000 0.0000 [1 per cell]  2 Cr 1.81

Formation energy from raw total energies = 0.01 eV/atom

***

Computed, not measured: a relaxed ScCrI2N crystal at the GGA-PBE level of DFT.

Cell lengths 5.9051, 5.9051, 3.9160 Å; angles 90.00, 90.00, 90.00 degrees
Closest atoms and distances in Å follow each position.
Space group P4/mmm (No. 123)
Unique sites:
Sc1 0.0000 0.0000 0.0000 [1 per cell]  2 N 1.96
Cr1 0.5000 0.5000 0.5000 [1 per cell]  8 I 3.54, 2 Cr 3.92
I1 0.0000 0.5000 0.0000 [2 per cell]  2 Sc 2.95
N1 0.0000 0.0000 0.5000 [1 per cell]  2 Sc 1.96

Formation energy from raw total energies = 0.14 eV/atom

***

Computed, not measured: a relaxed CrSeI2N crystal at the GGA-PBE level of DFT.

Cell lengths 5.9325, 5.9325, 3.6824 Å; angles 90.00, 90.00, 90.00 degrees
Closest atoms and distances in Å follow each position.
Space group P4/mmm (No. 123)
Unique sites:
Cr1 0.0000 0.0000 0.0000 [1 per cell]  8 I 3.49, 2 Cr 3.68
Se1 0.5000 0.5000 0.5000 [1 per cell]  2 N 1.84
I1 0.0000 0.5000 0.5000 [2 per cell]  2 Se 2.97
N1 0.5000 0.5000 0.0000 [1 per cell]  2 Se 1.84

Formation energy from raw total energies = 1.53 eV/atom

***

Computed, not measured: a relaxed CrSe2IN crystal at the GGA-PBE level of DFT.

Cell lengths 5.0743, 5.0743, 3.6093 Å; angles 90.00, 90.00, 90.00 degrees
Closest atoms and distances in Å follow each position.
Space group P4/mmm (No. 123)
Unique sites:
Cr1 0.0000 0.0000 0.0000 [1 per cell]  2 N 1.80
Se1 0.0000 0.5000 0.0000 [2 per cell]  2 Cr 2.54
I1 0.5000 0.5000 0.5000 [1 per cell]  8 Se 3.11
N1 0.0000 0.0000 0.5000 [1 per cell]  2 Cr 1.80

Formation energy from raw total energies = 0.36 eV/atom

***

Computed, not measured: a relaxed CrSeI2N crystal at the GGA-PBE level of DFT.

Cell lengths 5.4230, 5.4230, 3.6080 Å; angles 90.00, 90.00, 90.00 degrees
Closest atoms and distances in Å follow each position.
Space group P4/mmm (No. 123)
Unique sites:
Cr1 0.0000 0.0000 0.0000 [1 per cell]  2 N 1.80
Se1 0.5000 0.5000 0.5000 [1 per cell]  8 I 3.26, 2 Se 3.61
I1 0.0000 0.5000 0.0000 [2 per cell]  2 Cr 2.71
N1 0.0000 0.0000 0.5000 [1 per cell]  2 Cr 1.80

Formation energy from raw total energies = 0.50 eV/atom

***

Computed, not measured: a relaxed CrSe2IN crystal at the GGA-PBE level of DFT.

Cell lengths 5.4925, 5.4925, 3.9192 Å; angles 90.00, 90.00, 90.00 degrees
Closest atoms and distances in Å follow each position.
Space group P4/mmm (No. 123)
Unique sites:
Cr1 0.0000 0.0000 0.0000 [1 per cell]  8 Se 3.37
Se1 0.0000 0.5000 0.5000 [2 per cell]  2 I 2.75
I1 0.5000 0.5000 0.5000 [1 per cell]  2 N 1.96
N1 0.5000 0.5000 0.0000 [1 per cell]  2 I 1.96

Formation energy from raw total energies = 1.34 eV/atom